No. 1
Below is an optimized crystal structure of YPuMg2O6, with properties calculated at the GGA-PBE level.

Cell: 5.4927 5.4927 14.6837 Å, 90.00 90.00 120.00°
Space group R3 (No. 146, hexagonal axes)
One atom of each set of equivalent atoms:
Y1 0.0000 0.0000 0.0000 (multiplicity 3)
Pu1 0.0000 0.0000 0.4901 (multiplicity 3)
Mg1 0.0000 0.0000 0.2807 (multiplicity 3)
Mg2 0.0000 0.0000 0.7894 (multiplicity 3)
O1 0.0085 0.3112 0.8890 (multiplicity 9)
O2 0.0278 0.6388 0.0594 (multiplicity 9)

Summary:
Magnetization in μB/f.u.: 3.0
Formation energy (no corrections) in meV per atom: -2890

=====

No. 2
Below is an optimized crystal structure of YPuMgO6, with properties calculated at the GGA-PBE level.

Cell: 5.3605 5.3605 9.8071 Å, 90.00 90.00 120.00°
Space group P-31c (No. 163)
One atom of each set of equivalent atoms:
Y1 0.0000 0.0000 0.0000 (multiplicity 2)
Pu1 0.3333 0.6667 0.2500 (multiplicity 2)
Mg1 0.3333 0.6667 0.7500 (multiplicity 2)
O1 0.0136 0.3574 0.1374 (multiplicity 12)

Summary:
Magnetization in μB/f.u.: 1.0
Formation energy (no corrections) in meV per atom: -2747

=====

No. 3
Below is an optimized crystal structure of PuMg2ZnO6, with properties calculated at the GGA-PBE level.

Cell: 5.3240 5.3240 14.3721 Å, 90.00 90.00 120.00°
Space group R3 (No. 146, hexagonal axes)
One atom of each set of equivalent atoms:
Pu1 0.0000 0.0000 0.0000 (multiplicity 3)
Mg1 0.0000 0.0000 0.2059 (multiplicity 3)
Mg2 0.0000 0.0000 0.6972 (multiplicity 3)
Zn1 0.0000 0.0000 0.4899 (multiplicity 3)
O1 0.0000 0.7002 0.0938 (multiplicity 9)
O2 0.0077 0.3114 0.5968 (multiplicity 9)

Summary:
Magnetization in μB/f.u.: 2.0
Formation energy (no corrections) in meV per atom: -2317

=====

No. 4
Below is an optimized crystal structure of PuMgZnO6, with properties calculated at the GGA-PBE level.

Cell: 5.2519 5.2519 9.1660 Å, 90.00 90.00 120.00°
Space group P-31c (No. 163)
One atom of each set of equivalent atoms:
Pu1 0.3333 0.6667 0.2500 (multiplicity 2)
Mg1 0.0000 0.0000 0.0000 (multiplicity 2)
Zn1 0.3333 0.6667 0.7500 (multiplicity 2)
O1 0.0187 0.3486 0.1311 (multiplicity 12)

Summary:
Magnetization in μB/f.u.: 0.1
Formation energy (no corrections) in meV per atom: -1908